# 1
Entry from Alexandria: Ac2Mg3Ge4 after structural relaxation (PBE-GGA).

## Properties
Calculated volume = 24.3 Å³ per atom
Density = 6.217 g cm⁻³
Formation energy from the elements = -477.7 meV/atom

CIF file:
```
data_Ac2Mg3Ge4
_chemical_formula_sum 'Ac8 Mg12 Ge16'
_symmetry_space_group_name_H-M 'C m c e'
_symmetry_Int_Tables_number 64
_symmetry_space_group_name_Hall '-C 2ac 2'
_cell_length_a 6.297
_cell_length_b 16.499
_cell_length_c 8.406
_cell_angle_alpha 90.00
_cell_angle_beta 90.00
_cell_angle_gamma 90.00
loop_
_atom_site_label
_atom_site_fract_x
_atom_site_fract_y
_atom_site_fract_z
_atom_site_occupancy
Ac1 0.000 0.114 0.085 1
Mg1 0.000 0.000 0.500 1
Mg2 0.250 0.210 0.750 1
Ge1 0.000 0.191 0.448 1
Ge2 0.250 0.046 0.750 1
```

***

# 2
Entry from Alexandria: Ac12MgGe7 after structural relaxation (PBE-GGA).

## Properties
Calculated volume = 40.0 Å³ per atom
Density = 6.757 g cm⁻³
Formation energy from the elements = -293.1 meV/atom

CIF file:
```
data_Ac12MgGe7
_chemical_formula_sum 'Ac36 Mg3 Ge21'
_symmetry_space_group_name_H-M 'R -3'
_symmetry_Int_Tables_number 148
_symmetry_space_group_name_Hall '-R 3'
_cell_length_a 16.1608
_cell_length_b 16.1608
_cell_length_c 10.6164
_cell_angle_alpha 90.00
_cell_angle_beta 90.00
_cell_angle_gamma 120.00
loop_
_atom_site_label
_atom_site_fract_x
_atom_site_fract_y
_atom_site_fract_z
_atom_site_occupancy
Ac1 0.0338 0.4374 0.1630 1
Ac2 0.0525 0.8742 0.8339 1
Mg1 0.0000 0.0000 0.5000 1
Ge1 0.0000 0.0000 0.0000 1
Ge2 0.0543 0.8713 0.3264 1
```

***

# 3
Entry from Alexandria: Ac4MgGe3 after structural relaxation (PBE-GGA).

## Properties
Calculated volume = 31.6 Å³ per atom
Density = 7.550 g cm⁻³
Formation energy from the elements = -540.8 meV/atom

CIF file:
```
data_Ac4MgGe3
_chemical_formula_sum 'Ac4 Mg1 Ge3'
_symmetry_space_group_name_H-M 'P m m 2'
_symmetry_Int_Tables_number 25
_cell_length_a 4.380
_cell_length_b 4.762
_cell_length_c 12.129
_cell_angle_alpha 90.00
_cell_angle_beta 90.00
_cell_angle_gamma 90.00
loop_
_symmetry_equiv_pos_as_xyz
'x,y,z'
'-x,-y,z'
'-x,y,z'
'x,-y,z'
loop_
_atom_site_label
_atom_site_fract_x
_atom_site_fract_y
_atom_site_fract_z
_atom_site_occupancy
Ac1 0.000 0.000 0.000 1
Ac2 0.000 0.500 0.485 1
Ac3 0.500 0.000 0.702 1
Ac4 0.500 0.500 0.214 1
Mg1 0.000 0.500 0.793 1
Ge1 0.000 0.000 0.278 1
Ge2 0.500 0.000 0.419 1
Ge3 0.500 0.500 0.933 1
```

***

# 4
Entry from Alexandria: Ac6MgGe3 after structural relaxation (PBE-GGA).

## Properties
Calculated volume = 35.2 Å³ per atom
Density = 7.566 g cm⁻³
Formation energy from the elements = -416.9 meV/atom

CIF file:
```
data_Ac6MgGe3
_chemical_formula_sum 'Ac24 Mg4 Ge12'
_symmetry_space_group_name_H-M 'C m c 21'
_symmetry_Int_Tables_number 36
_cell_length_a 12.792
_cell_length_b 13.774
_cell_length_c 7.993
_cell_angle_alpha 90.00
_cell_angle_beta 90.00
_cell_angle_gamma 90.00
loop_
_symmetry_equiv_pos_as_xyz
'x,y,z'
'-x,-y,z+1/2'
'-x,y,z'
'x,-y,z+1/2'
'x+1/2,y+1/2,z'
'-x+1/2,-y+1/2,z+1/2'
'-x+1/2,y+1/2,z'
'x+1/2,-y+1/2,z+1/2'
loop_
_atom_site_label
_atom_site_fract_x
_atom_site_fract_y
_atom_site_fract_z
_atom_site_occupancy
Ac1 0.000 0.075 0.000 1
Ac2 0.000 0.198 0.473 1
Ac3 0.152 0.464 0.522 1
Ac4 0.235 0.285 0.180 1
Mg1 0.000 0.323 0.869 1
Ge1 0.000 0.376 0.212 1
Ge2 0.173 0.067 0.307 1
```

***

# 5
Entry from Alexandria: Ac2MgGe6 after structural relaxation (PBE-GGA).

## Properties
Calculated volume = 23.2 Å³ per atom
Density = 7.255 g cm⁻³
Formation energy from the elements = -393.7 meV/atom

CIF file:
```
data_Ac2MgGe6
_chemical_formula_sum 'Ac2 Mg1 Ge6'
_symmetry_space_group_name_H-M 'P -3 m 1'
_symmetry_Int_Tables_number 164
_symmetry_space_group_name_Hall '-P 3 2"'
_cell_length_a 6.4330
_cell_length_b 6.4330
_cell_length_c 5.8376
_cell_angle_alpha 90.00
_cell_angle_beta 90.00
_cell_angle_gamma 120.00
loop_
_atom_site_label
_atom_site_fract_x
_atom_site_fract_y
_atom_site_fract_z
_atom_site_occupancy
Ac1 0.3333 0.6667 0.3329 1
Mg1 0.0000 0.0000 0.5000 1
Ge1 0.1872 0.3744 0.8387 1
```

***

# 6
Entry from Alexandria: Ac2MgGe5 after structural relaxation (PBE-GGA).

## Properties
Calculated volume = 25.3 Å³ per atom
Density = 6.907 g cm⁻³
Formation energy from the elements = -440.3 meV/atom

CIF file:
```
data_Ac2MgGe5
_chemical_formula_sum 'Ac4 Mg2 Ge10'
_symmetry_space_group_name_H-M 'I 4 m m'
_symmetry_Int_Tables_number 107
_symmetry_space_group_name_Hall 'I 4 -2'
_cell_length_a 6.584
_cell_length_b 6.584
_cell_length_c 9.333
_cell_angle_alpha 90.00
_cell_angle_beta 90.00
_cell_angle_gamma 90.00
loop_
_atom_site_label
_atom_site_fract_x
_atom_site_fract_y
_atom_site_fract_z
_atom_site_occupancy
Ac1 0.000 0.500 0.000 1
Mg1 0.000 0.000 0.192 1
Ge1 0.000 0.000 0.552 1
Ge2 0.206 0.206 0.758 1
```

***

# 7
Entry from Alexandria: Ac2MgGe after structural relaxation (PBE-GGA).

## Properties
Calculated volume = 32.1 Å³ per atom
Density = 7.130 g cm⁻³
Formation energy from the elements = -320.8 meV/atom

CIF file:
```
data_Ac2MgGe
_chemical_formula_sum 'Ac2 Mg1 Ge1'
_symmetry_space_group_name_H-M 'P 4/m m m'
_symmetry_Int_Tables_number 123
_symmetry_space_group_name_Hall '-P 4 2'
_cell_length_a 4.103
_cell_length_b 4.103
_cell_length_c 7.623
_cell_angle_alpha 90.00
_cell_angle_beta 90.00
_cell_angle_gamma 90.00
loop_
_atom_site_label
_atom_site_fract_x
_atom_site_fract_y
_atom_site_fract_z
_atom_site_occupancy
Ac1 0.000 0.000 0.221 1
Mg1 0.500 0.500 0.500 1
Ge1 0.500 0.500 0.000 1
```

***

# 8
Entry from Alexandria: Ac3MgGe3 after structural relaxation (PBE-GGA).

## Properties
Calculated volume = 28.9 Å³ per atom
Density = 7.574 g cm⁻³
Formation energy from the elements = -641.1 meV/atom
E above lowest polymorph = 0 meV/atom

CIF file:
```
data_Ac3MgGe3
_chemical_formula_sum 'Ac12 Mg4 Ge12'
_symmetry_space_group_name_H-M 'C 1 2/m 1'
_symmetry_Int_Tables_number 12
_cell_length_a 12.190
_cell_length_b 4.669
_cell_length_c 15.039
_cell_angle_alpha 90.00
_cell_angle_beta 108.93
_cell_angle_gamma 90.00
loop_
_symmetry_equiv_pos_as_xyz
'x,y,z'
'-x,-y,-z'
'-x,y,-z'
'x,-y,z'
'x+1/2,y+1/2,z'
'-x+1/2,-y+1/2,-z'
'-x+1/2,y+1/2,-z'
'x+1/2,-y+1/2,z'
loop_
_atom_site_label
_atom_site_fract_x
_atom_site_fract_y
_atom_site_fract_z
_atom_site_occupancy
Ac1 0.018 0.000 0.377 1
Ac2 0.102 0.000 0.922 1
Ac3 0.241 0.000 0.223 1
Mg1 0.236 0.500 0.409 1
Ge1 0.036 0.500 0.229 1
Ge2 0.109 0.500 0.077 1
Ge3 0.138 0.500 0.552 1
```

***

# 9
Entry from Alexandria: Ac3MgGe2 after structural relaxation (PBE-GGA).

## Properties
Calculated volume = 35.3 Å³ per atom
Density = 6.674 g cm⁻³
Formation energy from the elements = -413.0 meV/atom

CIF file:
```
data_Ac3MgGe2
_chemical_formula_sum 'Ac12 Mg4 Ge8'
_symmetry_space_group_name_H-M 'C 1 2/m 1'
_symmetry_Int_Tables_number 12
_cell_length_a 17.261
_cell_length_b 4.639
_cell_length_c 11.857
_cell_angle_alpha 90.00
_cell_angle_beta 116.92
_cell_angle_gamma 90.00
loop_
_symmetry_equiv_pos_as_xyz
'x,y,z'
'-x,-y,-z'
'-x,y,-z'
'x,-y,z'
'x+1/2,y+1/2,z'
'-x+1/2,-y+1/2,-z'
'-x+1/2,y+1/2,-z'
'x+1/2,-y+1/2,z'
loop_
_atom_site_label
_atom_site_fract_x
_atom_site_fract_y
_atom_site_fract_z
_atom_site_occupancy
Ac1 0.050 0.000 0.240 1
Ac2 0.144 0.500 0.999 1
Ac3 0.227 0.000 0.627 1
Mg1 0.071 0.500 0.654 1
Ge1 0.113 0.500 0.449 1
Ge2 0.145 0.000 0.816 1
```

***

# 10
Entry from Alexandria: Ac2MgGe3 after structural relaxation (PBE-GGA).

## Properties
Calculated volume = 26.8 Å³ per atom
Density = 7.197 g cm⁻³
Formation energy from the elements = -559.5 meV/atom
E above lowest polymorph = 22 meV/atom

CIF file:
```
data_Ac2MgGe3
_chemical_formula_sum 'Ac16 Mg8 Ge24'
_symmetry_space_group_name_H-M 'F m m m'
_symmetry_Int_Tables_number 69
_symmetry_space_group_name_Hall '-F 2 2'
_cell_length_a 9.035
_cell_length_b 9.207
_cell_length_c 15.450
_cell_angle_alpha 90.00
_cell_angle_beta 90.00
_cell_angle_gamma 90.00
loop_
_atom_site_label
_atom_site_fract_x
_atom_site_fract_y
_atom_site_fract_z
_atom_site_occupancy
Ac1 0.000 0.239 0.000 1
Ac2 0.250 0.250 0.250 1
Mg1 0.000 0.000 0.335 1
Ge1 0.000 0.000 0.166 1
Ge2 0.249 0.000 0.417 1
```